Material: Na2P2Pt
Method: DFT, PBE
State: relaxed

Energy above the most stable polymorph in this dataset in meV/atom: 91
Size of the total moment in μB/f.u.: 0.00

Unit cell a=7.079 b=7.079 c=5.748 alpha=90.00 beta=90.00 gamma=131.92
Sites, in units of the cell vectors:
Na  0.205  0.795  0.750
Pt  0.000  0.000  0.000
Pt  0.000  0.000  0.500
Na  0.795  0.205  0.250
Na  0.570  0.430  0.750
P  0.935  0.685  0.250
P  0.065  0.315  0.750
P  0.685  0.935  0.750
P  0.315  0.065  0.250
Na  0.430  0.570  0.250

***

Material: RbNaTaO3
Method: DFT, PBE
State: relaxed

VASP energy in eV for the cell shown: -83.0
Size of the total moment in μB/f.u.: 0.00

Unit cell a=6.346 b=6.346 c=5.464 alpha=93.37 beta=93.37 gamma=123.08
Sites, in units of the cell vectors:
O  0.797  0.731  0.508
O  0.212  0.788  0.250
Na  0.580  0.420  0.750
Rb  0.723  0.277  0.250
O  0.203  0.269  0.492
Ta  0.045  0.955  0.250
O  0.269  0.203  0.992
O  0.731  0.797  0.008
O  0.788  0.212  0.750
Ta  0.955  0.045  0.750
Rb  0.277  0.723  0.750
Na  0.420  0.580  0.250

***

Material: SrAg3Pt2
Method: DFT, PBE
State: relaxed

VASP energy in eV for the cell shown: -24.0
Size of the total moment in μB/f.u.: 0.00

Unit cell a=5.602 b=5.602 c=4.581 alpha=90.00 beta=90.00 gamma=120.00
Sites, in units of the cell vectors:
Ag  0.000  0.500  0.500
Pt  0.333  0.667  0.000
Sr  0.000  0.000  0.000
Ag  0.500  0.500  0.500
Ag  0.500  0.000  0.500
Pt  0.667  0.333  0.000

***

Material: TlCoNiAg
Method: DFT, PBE
State: relaxed

Energy above the most stable polymorph in this dataset in meV/atom: 0
Size of the total moment in μB/f.u.: 1.08

Unit cell a=4.429 b=4.429 c=4.429 alpha=60.00 beta=60.00 gamma=60.00
Sites, in units of the cell vectors:
Ni  0.250  0.250  0.250
Ag  0.500  0.500  0.500
Co  0.750  0.750  0.750
Tl  0.000  0.000  0.000

***

Material: La2OsI
Method: DFT, PBE
State: relaxed

VASP energy in eV for the cell shown: -24.6
Size of the total moment in μB/f.u.: 0.04

Unit cell a=4.102 b=4.102 c=8.628 alpha=90.00 beta=90.00 gamma=120.00
Sites, in units of the cell vectors:
La  0.667  0.333  0.698
I  0.000  0.000  0.000
Os  0.333  0.667  0.500
La  0.667  0.333  0.302

***

Material: HoMgHgAu
Method: DFT, PBE
State: relaxed

VASP energy in eV for the cell shown: -12.1
Size of the total moment in μB/f.u.: 0.00

Unit cell a=4.953 b=4.953 c=4.953 alpha=60.00 beta=60.00 gamma=60.00
Sites, in units of the cell vectors:
Au  0.500  0.500  0.500
Ho  0.250  0.250  0.250
Mg  0.750  0.750  0.750
Hg  0.000  0.000  0.000

***

Material: Gd2SnSe3
Method: DFT, PBE
State: relaxed

VASP energy in eV for the cell shown: -31.5
Size of the total moment in μB/f.u.: 0.00

Unit cell a=4.163 b=4.163 c=10.419 alpha=90.00 beta=90.00 gamma=120.00
Sites, in units of the cell vectors:
Sn  0.000  0.000  0.500
Gd  0.333  0.667  0.148
Se  0.000  0.000  0.000
Gd  0.667  0.333  0.852
Se  0.333  0.667  0.677
Se  0.667  0.333  0.323

***

Material: NaCuCl2
Method: DFT, PBE
State: relaxed

VASP energy in eV for the cell shown: -13.1

Unit cell a=7.458 b=7.458 c=7.458 alpha=32.74 beta=32.74 gamma=32.74
Sites, in units of the cell vectors:
Cu  0.000  0.000  0.000
Na  0.500  0.500  0.500
Cl  0.100  0.100  0.100
Cl  0.900  0.900  0.900

***

Material: TbSm2Cd3AgAu2
Method: DFT, PBE
State: relaxed

Formation enthalpy at 0 K in kJ/mol of atoms: -56.06
Size of the total moment in μB/f.u.: 0.01

Unit cell a=3.933 b=7.900 c=7.900 alpha=119.80 beta=90.00 gamma=90.00
Sites, in units of the cell vectors:
Cd  0.500  0.999  0.740
Tb  0.000  0.591  0.591
Au  0.500  0.666  0.336
Au  0.500  0.336  0.666
Sm  0.000  0.000  0.409
Sm  0.000  0.409  0.000
Cd  0.500  0.260  0.260
Cd  0.500  0.740  0.999
Ag  0.000  0.999  0.999

***

Material: Sr2IrPb
Method: DFT, PBE
State: relaxed

VASP energy in eV for the cell shown: -16.9
Size of the total moment in μB/f.u.: 0.00

Unit cell a=4.544 b=6.248 c=6.248 alpha=45.04 beta=90.00 gamma=90.00
Sites, in units of the cell vectors:
Pb  0.000  0.940  0.940
Ir  0.500  0.069  0.069
Sr  0.000  0.640  0.640
Sr  0.500  0.351  0.351

***

Material: GdYTe2
Method: DFT, PBE
State: relaxed

Energy above the most stable polymorph in this dataset in meV/atom: 16
Size of the total moment in μB/f.u.: 0.00

Unit cell a=4.375 b=4.375 c=6.194 alpha=90.00 beta=90.00 gamma=90.00
Sites, in units of the cell vectors:
Te  0.500  0.500  0.500
Gd  0.000  0.000  0.500
Te  0.000  0.000  0.000
Y  0.500  0.500  0.000

***

Material: Sm2Sc2CI2Cl3
Method: DFT, PBE
State: relaxed

Energy above the most stable polymorph in this dataset in meV/atom: 91
Size of the total moment in μB/f.u.: 0.02

Unit cell a=9.103 b=9.103 c=7.860 alpha=101.80 beta=101.80 gamma=23.93
Sites, in units of the cell vectors:
I  0.161  0.161  0.374
Sc  0.002  0.002  0.807
C  0.500  0.500  0.000
Cl  0.500  0.500  0.500
Cl  0.158  0.158  0.819
I  0.839  0.839  0.626
Sm  0.361  0.361  0.934
Sm  0.639  0.639  0.066
Cl  0.842  0.842  0.181
Sc  0.998  0.998  0.193

***

Material: Li2MgAl2PdPt2
Method: DFT, PBE
State: relaxed

VASP energy in eV for the cell shown: -36.2
Size of the total moment in μB/f.u.: 0.00

Unit cell a=4.305 b=4.305 c=6.222 alpha=90.00 beta=90.00 gamma=90.00
Sites, in units of the cell vectors:
Al  0.000  0.500  0.273
Li  0.500  0.000  0.258
Li  0.000  0.500  0.742
Pt  0.500  0.500  0.000
Pd  0.500  0.500  0.500
Al  0.500  0.000  0.727
Mg  0.000  0.000  0.000
Pt  0.000  0.000  0.500

***

Material: CsNaAgP
Method: DFT, PBE
State: relaxed

Energy above the most stable polymorph in this dataset in meV/atom: 0

Unit cell a=6.448 b=5.687 c=6.769 alpha=90.00 beta=99.48 gamma=90.00
Sites, in units of the cell vectors:
Na  0.947  0.750  0.102
Ag  0.500  0.500  0.000
Cs  0.711  0.750  0.543
Cs  0.289  0.250  0.457
P  0.776  0.250  0.191
Ag  0.500  0.000  0.000
Na  0.053  0.250  0.898
P  0.224  0.750  0.809

***

Material: GdCuAgS3
Method: DFT, PBE
State: relaxed

VASP energy in eV for the cell shown: -56.7
Size of the total moment in μB/f.u.: 0.02

Unit cell a=6.426 b=6.426 c=10.419 alpha=90.00 beta=90.00 gamma=145.28
Sites, in units of the cell vectors:
S  0.856  0.144  0.420
S  0.411  0.589  0.750
S  0.856  0.144  0.080
S  0.144  0.856  0.580
Gd  0.500  0.500  0.000
Ag  0.282  0.718  0.250
Cu  0.978  0.022  0.250
Ag  0.718  0.282  0.750
Cu  0.022  0.978  0.750
S  0.144  0.856  0.920
S  0.589  0.411  0.250
Gd  0.500  0.500  0.500

***

Material: BaCoMoAu
Method: DFT, PBE
State: relaxed

Energy above the most stable polymorph in this dataset in meV/atom: 153
Size of the total moment in μB/f.u.: 1.60

Unit cell a=4.846 b=4.846 c=4.846 alpha=60.00 beta=60.00 gamma=60.00
Sites, in units of the cell vectors:
Au  0.750  0.750  0.750
Ba  0.250  0.250  0.250
Co  0.500  0.500  0.500
Mo  0.000  0.000  0.000

***

Material: CoGe2Pb
Method: DFT, PBE
State: relaxed

VASP energy in eV for the cell shown: -17.8
Size of the total moment in μB/f.u.: 0.03

Unit cell a=4.743 b=4.743 c=4.743 alpha=60.00 beta=60.00 gamma=60.00
Sites, in units of the cell vectors:
Ge  0.750  0.750  0.750
Co  0.250  0.250  0.250
Pb  0.500  0.500  0.500
Ge  0.000  0.000  0.000

***

Material: Nd2Pt2Br
Method: DFT, PBE
State: relaxed

VASP energy in eV for the cell shown: -25.1
Size of the total moment in μB/f.u.: 0.02

Unit cell a=5.867 b=5.867 c=5.867 alpha=127.64 beta=127.64 gamma=77.21
Sites, in units of the cell vectors:
Nd  0.307  0.307  0.000
Pt  0.000  0.500  0.500
Nd  0.693  0.693  0.000
Pt  0.500  0.000  0.500
Br  0.000  0.000  0.000

***

Material: CsErAs2S7
Method: DFT, PBE
State: relaxed

VASP energy in eV for the cell shown: -51.3
Size of the total moment in μB/f.u.: 0.00

Unit cell a=6.946 b=6.946 c=7.031 alpha=96.15 beta=96.15 gamma=96.38
Sites, in units of the cell vectors:
S  0.565  0.180  0.253
As  0.661  0.948  0.408
S  0.318  0.360  0.790
S  0.640  0.682  0.210
S  0.993  0.007  0.500
S  0.820  0.435  0.747
S  0.530  0.875  0.661
Cs  0.102  0.898  0.000
S  0.125  0.470  0.339
Er  0.505  0.495  0.500
As  0.052  0.339  0.592

***

Material: CsScHgTe3
Method: DFT, PBE
State: relaxed

VASP energy in eV for the cell shown: -44.3
Size of the total moment in μB/f.u.: 0.00

Unit cell a=9.454 b=4.425 c=11.445 alpha=90.00 beta=112.31 gamma=90.00
Sites, in units of the cell vectors:
Hg  0.072  0.250  0.615
Te  0.252  0.750  0.575
Sc  0.328  0.750  0.867
Te  0.465  0.750  0.138
Te  0.888  0.750  0.130
Te  0.535  0.250  0.862
Cs  0.751  0.750  0.716
Te  0.112  0.250  0.870
Te  0.748  0.250  0.425
Sc  0.672  0.250  0.133
Hg  0.928  0.750  0.385
Cs  0.249  0.250  0.284

***

Material: Cs2SmTc4
Method: DFT, PBE
State: relaxed

VASP energy in eV for the cell shown: -38.2
Size of the total moment in μB/f.u.: 0.38

Unit cell a=7.100 b=7.100 c=3.302 alpha=90.00 beta=90.00 gamma=90.00
Last column: magnetic moment on the atom in μB.
Sites, in units of the cell vectors:
Tc  0.641  0.641  0.301  0.07
Tc  0.641  0.359  0.699  0.08
Tc  0.359  0.359  0.301  0.07
Sm  0.000  0.000  0.000  -0.01
Cs  0.000  0.500  0.000  0.01
Cs  0.500  0.000  0.000  0.01
Tc  0.359  0.641  0.699  0.08

***

Material: Zr2GaNi
Method: DFT, PBE
State: relaxed

VASP energy in eV for the cell shown: -25.7
Size of the total moment in μB/f.u.: 2.99

Unit cell a=4.659 b=4.659 c=4.659 alpha=60.00 beta=60.00 gamma=60.00
Last column: magnetic moment on the atom in μB.
Sites, in units of the cell vectors:
Zr  0.750  0.750  0.750  1.16
Zr  0.000  0.000  0.000  0.80
Ni  0.250  0.250  0.250  0.36
Ga  0.500  0.500  0.500  0.03

***

Material: NbH2
Method: DFT, PBE
State: relaxed

VASP energy in eV for the cell shown: -34.9
Size of the total moment in μB/f.u.: 0.00

Unit cell a=3.223 b=3.223 c=5.162 alpha=90.00 beta=90.00 gamma=120.00
Sites, in units of the cell vectors:
H  0.000  0.000  0.167
Nb  0.667  0.333  0.054
H  0.667  0.333  0.423
Nb  0.333  0.667  0.554
H  0.333  0.667  0.923
H  0.000  0.000  0.667

***

Material: Zr4W2C3S3
Method: DFT, PBE
State: relaxed

VASP energy in eV for the cell shown: -221.6
Size of the total moment in μB/f.u.: 0.01

Unit cell a=5.804 b=5.804 c=12.445 alpha=102.87 beta=102.87 gamma=60.09
Sites, in units of the cell vectors:
S  0.416  0.272  0.749
W  0.525  0.348  0.081
C  0.660  0.181  0.500
C  0.000  0.500  0.500
S  0.889  0.111  0.250
W  0.348  0.525  0.581
S  0.111  0.889  0.750
Zr  0.807  0.958  0.895
S  0.272  0.416  0.249
Zr  0.958  0.807  0.395
W  0.475  0.652  0.919
Zr  0.874  0.701  0.105
Zr  0.126  0.299  0.895
C  0.340  0.819  0.500
Zr  0.299  0.126  0.395
S  0.584  0.728  0.251
Zr  0.701  0.874  0.605
W  0.652  0.475  0.419
Zr  0.193  0.042  0.105
C  0.181  0.660  0.000
C  0.819  0.340  0.000
Zr  0.042  0.193  0.605
S  0.728  0.584  0.751
C  0.500  0.000  0.000

***

Material: CsNaH4Pd
Method: DFT, PBE
State: relaxed

VASP energy in eV for the cell shown: -22.1

Unit cell a=5.705 b=5.705 c=5.705 alpha=118.04 beta=118.04 gamma=93.44
Sites, in units of the cell vectors:
H  0.200  0.800  0.000
H  0.200  0.200  0.400
Na  0.750  0.250  0.500
Cs  0.250  0.750  0.500
Pd  0.000  0.000  0.000
H  0.800  0.800  0.600
H  0.800  0.200  0.000